No. 1
# CrHgNO2, relaxed, DFT PBE+U
data_CrHgNO2
_symmetry_space_group_name_H-M 'P 1'
_symmetry_Int_Tables_number 1
_cell_length_a 3.9637
_cell_length_b 3.9637
_cell_length_c 3.8138
_cell_angle_alpha 90.00
_cell_angle_beta 90.00
_cell_angle_gamma 90.00
loop_
_symmetry_equiv_pos_as_xyz
'x,y,z'
loop_
_atom_site_label
_atom_site_type_symbol
_atom_site_fract_x
_atom_site_fract_y
_atom_site_fract_z
O1 O 0.0000 0.5000 0.0000
Cr1 Cr 0.0000 0.0000 0.0000
O2 O 0.5000 0.0000 0.0000
Hg1 Hg 0.5000 0.5000 0.5000
N1 N 0.0000 0.0000 0.5000
# final energy: -5.244 eV/atom

=====

No. 2
# CrHgNO2, relaxed, DFT PBE+U
data_CrHgNO2
_symmetry_space_group_name_H-M 'P 1'
_symmetry_Int_Tables_number 1
_cell_length_a 4.2223
_cell_length_b 4.2223
_cell_length_c 4.1036
_cell_angle_alpha 90.00
_cell_angle_beta 90.00
_cell_angle_gamma 90.00
loop_
_symmetry_equiv_pos_as_xyz
'x,y,z'
loop_
_atom_site_label
_atom_site_type_symbol
_atom_site_fract_x
_atom_site_fract_y
_atom_site_fract_z
O1 O 0.0000 0.5000 0.0000
Hg1 Hg 0.0000 0.0000 0.0000
Cr1 Cr 0.5000 0.5000 0.5000
O2 O 0.5000 0.0000 0.0000
N1 N 0.0000 0.0000 0.5000
# final energy: -4.125 eV/atom

=====

Question: Among the records above, which one has the highest final energy?
Answer: number 2

=====

Question: Look up the final energy of the first one.
Answer: -5.244 eV/atom

=====

Please write out number 2 again, unchanged.
# CrHgNO2, relaxed, DFT PBE+U
data_CrHgNO2
_symmetry_space_group_name_H-M 'P 1'
_symmetry_Int_Tables_number 1
_cell_length_a 4.2223
_cell_length_b 4.2223
_cell_length_c 4.1036
_cell_angle_alpha 90.00
_cell_angle_beta 90.00
_cell_angle_gamma 90.00
loop_
_symmetry_equiv_pos_as_xyz
'x,y,z'
loop_
_atom_site_label
_atom_site_type_symbol
_atom_site_fract_x
_atom_site_fract_y
_atom_site_fract_z
O1 O 0.0000 0.5000 0.0000
Hg1 Hg 0.0000 0.0000 0.0000
Cr1 Cr 0.5000 0.5000 0.5000
O2 O 0.5000 0.0000 0.0000
N1 N 0.0000 0.0000 0.5000
# final energy: -4.125 eV/atom

=====

Question: Among the records above, which one has the lowest final energy?
Answer: number 1